Material: Ho2Mn2Al2C
Method: DFT, PBE
State: optimized geometry

Cell and atoms, written as POSCAR:
```
Ho2Mn2Al2C
1.0
-2.9390 1.5287 0.7803
-0.1027 0.7046 5.6565
3.2416 5.5884 1.2561
Ho Mn Al C
2 2 2 1
Cartesian
0.9570 4.9143 1.3944
-0.7571 2.9073 6.2985
0.6118 6.7642 3.8934
-0.4119 1.0575 3.7996
-1.2385 3.4759 3.3681
1.4384 4.3458 4.3249
0.0000 0.0000 0.0000
```

Calculated values
DFT formation energy = -0.230 eV/atom

---

Material: Ho2Al2Os2C
Method: DFT, PBE
State: optimized geometry

Cell and atoms, written as POSCAR:
```
Ho2Al2Os2C
1.0
-3.2562 1.1904 -2.2362
-4.8256 0.4775 3.4751
-1.0527 5.8274 0.8292
Ho Al Os C
2 2 2 1
Cartesian
-3.3798 4.8945 -0.0845
-5.7546 2.6008 2.1525
-2.7098 2.1336 1.2758
-6.4246 5.3617 0.7922
-4.9639 5.8381 2.7243
-4.1706 1.6572 -0.6563
0.0000 0.0000 0.0000
```

Calculated values
DFT formation energy = -0.463 eV/atom

---

Material: HoSc2AlC
Method: DFT, PBE
State: optimized geometry

Cell and atoms, written as POSCAR:
```
HoSc2AlC
1.0
4.8191 0.0000 0.0000
0.0000 4.5431 0.0000
0.0000 0.0000 4.5431
Ho Sc Al C
1 2 1 1
Cartesian
2.4096 0.0000 0.0000
0.0000 0.0000 2.2715
0.0000 2.2715 0.0000
2.4096 2.2715 2.2715
0.0000 0.0000 0.0000
```

Calculated values
DFT formation energy = -0.517 eV/atom

---

Material: Ho2ScAlC
Method: DFT, PBE
State: optimized geometry

Cell and atoms, written as POSCAR:
```
Ho2ScAlC
1.0
4.5254 0.0000 0.0000
0.0000 4.8608 0.0000
0.0000 0.0000 4.8608
Ho Sc Al C
2 1 1 1
Cartesian
0.0000 0.0000 2.4304
0.0000 2.4304 0.0000
2.2627 0.0000 0.0000
2.2627 2.4304 2.4304
0.0000 0.0000 0.0000
```

Calculated values
DFT formation energy = -0.464 eV/atom

---

Material: Ho2AlSiC
Method: DFT, PBE
State: optimized geometry

Cell and atoms, written as POSCAR:
```
Ho2AlSiC
1.0
3.8089 0.0000 0.0000
0.0000 6.6202 0.2107
0.0000 -2.5885 7.5589
Ho Al Si C
4 2 2 2
Cartesian
2.8567 3.8449 4.8373
2.8567 5.1963 0.4447
0.9522 0.1869 2.9322
0.9522 -1.1645 7.3249
0.9522 1.5658 5.7394
2.8567 2.4660 2.0301
0.9522 3.9165 2.4660
2.8567 0.1153 5.3035
0.9522 3.3677 6.4448
2.8567 0.6641 1.3248
```

Calculated values
Uncorrected formation energy = -0.5038 eV per atom

---

Material: Sm2HoAlC
Method: DFT, PBE
State: optimized geometry

Cell and atoms, written as POSCAR:
```
Sm2HoAlC
1.0
-0.9256 -0.0821 4.7693
-0.0552 -5.0209 -0.0972
4.9299 -0.0727 0.9555
Sm Ho Al C
2 1 1 1
Cartesian
2.4649 -0.0363 0.4777
-0.0276 -2.5104 -0.0486
-0.4628 -0.0411 2.3846
1.9745 -2.5878 2.8138
0.0000 0.0000 0.0000
```

Calculated values
DFT formation energy = -0.302 eV/atom

---

Material: SmHo2AlC
Method: DFT, PBE
State: optimized geometry

Cell and atoms, written as POSCAR:
```
SmHo2AlC
1.0
-4.1042 2.8743 0.2661
-2.7712 -3.9844 0.2960
0.3808 0.0951 4.8465
Sm Ho Al C
1 2 1 1
Cartesian
-2.0521 1.4371 0.1330
0.1904 0.0476 2.4232
-1.3856 -1.9922 0.1480
-3.2473 -0.5075 2.7043
0.0000 0.0000 0.0000
```

Calculated values
DFT formation energy = -0.353 eV/atom

---

Material: Tb2HoAlC
Method: DFT, PBE
State: optimized geometry

Cell and atoms, written as POSCAR:
```
Tb2HoAlC
1.0
-0.6595 -4.7680 0.6383
0.9452 -0.7682 -4.7617
4.7768 -0.5225 1.0325
Tb Ho Al C
2 1 1 1
Cartesian
2.3884 -0.2613 0.5162
0.4726 -0.3841 -2.3808
-0.3298 -2.3840 0.3191
2.5312 -3.0294 -1.5455
0.0000 0.0000 0.0000
```

Calculated values
DFT formation energy = -0.378 eV/atom

---

Material: Ho2Al2Tc2C
Method: DFT, PBE
State: optimized geometry

Cell and atoms, written as POSCAR:
```
Ho2Al2Tc2C
1.0
3.4268 0.0018 0.0003
1.7162 5.6931 0.3047
0.0016 1.7791 6.3603
Ho Al Tc C
2 2 2 1
Cartesian
1.7154 1.3740 4.7137
3.4292 6.1000 1.9517
3.4292 2.9060 2.5031
1.7155 4.5680 4.1623
3.4281 3.6892 5.9138
1.7166 3.7848 0.7515
0.0000 0.0000 0.0000
```

Calculated values
DFT formation energy = -0.350 eV/atom

---

Material: Ho2TmAlC
Method: DFT, PBE
State: optimized geometry

Cell and atoms, written as POSCAR:
```
Ho2TmAlC
1.0
-0.9492 2.2166 4.1492
-4.6716 -1.2704 -0.3901
0.9182 -4.1162 2.4091
Ho Tm Al C
2 1 1 1
Cartesian
0.4591 -2.0581 1.2045
-2.3358 -0.6352 -0.1950
-0.4746 1.1083 2.0746
-2.3513 -1.5850 3.0841
0.0000 0.0000 0.0000
```

Calculated values
DFT formation energy = -0.425 eV/atom

---

Material: YHo2AlC
Method: DFT, PBE
State: optimized geometry

Cell and atoms, written as POSCAR:
```
YHo2AlC
1.0
-1.7982 0.4720 -4.5225
0.6497 -4.7565 -0.7548
-4.4721 -0.8785 1.6865
Y Ho Al C
1 2 1 1
Cartesian
-0.8991 0.2360 -2.2612
-2.2361 -0.4393 0.8433
0.3249 -2.3782 -0.3774
-2.8103 -2.5815 -1.7954
0.0000 0.0000 0.0000
```

Calculated values
DFT formation energy = -0.415 eV/atom

---

Material: Al3CI
Method: DFT, PBE
State: optimized geometry

Cell and atoms, written as POSCAR:
```
Al3CI
1.0
-2.6123 1.9556 -3.0641
-2.7364 -3.5418 0.0725
-2.3927 1.9154 3.2624
I C Al
1 1 3
Cartesian
-3.8707 0.1646 0.1354
0.0000 0.0000 0.0000
-1.3682 -1.7709 0.0362
-1.1964 0.9577 1.6312
-1.3062 0.9778 -1.5321
```

Calculated values
Polymorph energy (0 for the lowest one) = 0.00 eV/f.u.
Uncorrected formation energy = 0.7032 eV per atom

---

Material: Al3CI
Method: DFT, PBE
State: optimized geometry

Cell and atoms, written as POSCAR:
```
Al3CI
1.0
6.0460 0.0000 0.0000
0.0000 6.0460 0.0000
0.0000 0.0000 6.0460
I C Al
1 1 3
Cartesian
0.0000 0.0000 0.0000
3.0230 3.0230 3.0230
0.0000 3.0230 0.0000
0.0000 0.0000 3.0230
3.0230 0.0000 0.0000
```

Calculated values
Polymorph energy (0 for the lowest one) = 8.22 eV/f.u.
Uncorrected formation energy = 2.3465 eV per atom

---

Material: AlCI3
Method: DFT, PBE
State: optimized geometry

Cell and atoms, written as POSCAR:
```
AlCI3
1.0
-1.6926 0.2196 4.9006
3.8394 -3.1676 1.4680
3.0535 4.1046 0.8707
I C Al
3 1 1
Cartesian
1.9197 -1.5838 0.7340
1.5267 2.0523 0.4354
-0.8463 0.1098 2.4503
0.0000 0.0000 0.0000
2.6001 0.5783 3.6197
```

Calculated values
Polymorph energy (0 for the lowest one) = 0.00 eV/f.u.
Uncorrected formation energy = 1.0358 eV per atom

---

no.,total moment (μB per atom),electronic total energy (eV/atom)
1,0.3010,-6.545
2,0.0000,-7.366
3,0.0000,-6.558
4,0.0000,-6.154
5,0.0000,-6.013
6,0.0000,-5.699
7,0.0000,-5.721
8,0.0000,-5.739
9,0.0000,-7.007
10,0.0000,-5.744
11,0.0000,-6.132
12,0.0000,-3.697
13,0.4327,-2.054
14,0.0000,-2.488